# Pm2DyPuN4 (PBE, relaxed)
# - crystal system = monoclinic
# - density of states at the Fermi level (states/eV per atom) = 0.93
# - E_tot (eV for the cell shown) = -73.37
data_Pm2DyPuN4
_chemical_formula_sum 'Pm2 Dy1 Pu1 N4'
_symmetry_space_group_name_H-M 'P 1 2/m 1'
_symmetry_Int_Tables_number 10
_cell_length_a 6.1010
_cell_length_b 3.5425
_cell_length_c 6.1228
_cell_angle_alpha 90.00
_cell_angle_beta 109.26
_cell_angle_gamma 90.00
loop_
_symmetry_equiv_pos_as_xyz
'x,y,z'
'-x,-y,-z'
'-x,y,-z'
'x,-y,z'
loop_
_atom_site_label
_atom_site_type_symbol
_atom_site_fract_x
_atom_site_fract_y
_atom_site_fract_z
Pm1 Pm 0.0000 0.0000 0.0000
Pm2 Pm 0.5000 0.5000 0.0000
Dy1 Dy 0.0000 0.5000 0.5000
Pu1 Pu 0.5000 0.0000 0.5000
N1 N 0.2518 0.0000 0.7348
N2 N 0.2617 0.5000 0.2692